DFT (GGA-PBE) results for a geometry-optimized Dy3Y5Er4 structure.

Structure (CIF):
```
data_Dy3Y5Er4
_chemical_formula_sum 'Dy3 Y5 Er4'
_space_group_name_H-M_alt 'P 1'
_space_group_IT_number 1
_cell_length_a 5.8402
_cell_length_b 8.5419
_cell_length_c 9.5869
_cell_angle_alpha 106.22
_cell_angle_beta 72.27
_cell_angle_gamma 70.01
loop_
_space_group_symop_operation_xyz
'x,y,z'
loop_
_atom_site_label
_atom_site_type_symbol
_atom_site_fract_x
_atom_site_fract_y
_atom_site_fract_z
Dy1 Dy 0.5212 0.6871 0.2705
Dy2 Dy 0.0000 0.5000 0.5000
Dy3 Dy 0.4788 0.3129 0.7295
Y1 Y 0.6270 0.9480 0.7979
Y2 Y 0.5000 0.5000 0.5000
Y3 Y 0.2131 0.4602 0.1136
Y4 Y 0.7869 0.5398 0.8864
Y5 Y 0.3730 0.0520 0.2021
Er1 Er 0.8595 0.2211 0.0599
Er2 Er 0.1643 0.0496 0.6218
Er3 Er 0.8357 0.9504 0.3782
Er4 Er 0.1405 0.7789 0.9401
```

Summary:
Calculated formation energy: 0.245 eV/atom

=====

DFT (GGA-PBE) results for a geometry-optimized AlCdI2 structure.

Structure (CIF):
```
data_AlCdI2
_chemical_formula_sum 'Al1 Cd1 I2'
_space_group_name_H-M_alt 'P 1'
_space_group_IT_number 1
_cell_length_a 5.6246
_cell_length_b 5.6246
_cell_length_c 5.6246
_cell_angle_alpha 60.00
_cell_angle_beta 60.00
_cell_angle_gamma 60.00
loop_
_space_group_symop_operation_xyz
'x,y,z'
loop_
_atom_site_label
_atom_site_type_symbol
_atom_site_fract_x
_atom_site_fract_y
_atom_site_fract_z
I1 I 0.2500 0.2500 0.2500
I2 I 0.7500 0.7500 0.7500
Al1 Al 0.0000 0.0000 0.0000
Cd1 Cd 0.5000 0.5000 0.5000
```

Summary:
Formation energy without anion corrections: 56.6 meV per atom

=====

DFT (GGA-PBE) results for a geometry-optimized MgSc2Cd4 structure.

Structure (CIF):
```
data_MgSc2Cd4
_chemical_formula_sum 'Mg1 Sc2 Cd4'
_space_group_name_H-M_alt 'P 1'
_space_group_IT_number 1
_cell_length_a 5.1446
_cell_length_b 5.1446
_cell_length_c 8.2681
_cell_angle_alpha 108.13
_cell_angle_beta 108.13
_cell_angle_gamma 90.00
loop_
_space_group_symop_operation_xyz
'x,y,z'
loop_
_atom_site_label
_atom_site_type_symbol
_atom_site_fract_x
_atom_site_fract_y
_atom_site_fract_z
Mg1 Mg 0.0000 0.0000 0.0000
Sc1 Sc 0.6074 0.6074 0.2148
Sc2 Sc 0.3926 0.3926 0.7852
Cd1 Cd 0.8067 0.8067 0.6134
Cd2 Cd 0.1933 0.1933 0.3866
Cd3 Cd 0.0000 0.5000 0.0000
Cd4 Cd 0.5000 0.0000 0.0000
```

Summary:
Calculated formation energy: 0.290 eV/atom

=====

DFT (GGA-PBE) results for a geometry-optimized TbAg2Hg3 structure.

Structure (CIF):
```
data_TbAg2Hg3
_chemical_formula_sum 'Tb2 Ag4 Hg6'
_space_group_name_H-M_alt 'P 1'
_space_group_IT_number 1
_cell_length_a 4.9313
_cell_length_b 4.9313
_cell_length_c 12.8867
_cell_angle_alpha 90.00
_cell_angle_beta 90.00
_cell_angle_gamma 120.00
loop_
_space_group_symop_operation_xyz
'x,y,z'
loop_
_atom_site_label
_atom_site_type_symbol
_atom_site_fract_x
_atom_site_fract_y
_atom_site_fract_z
Tb1 Tb 0.0000 0.0000 0.2500
Tb2 Tb 0.0000 0.0000 0.7500
Ag1 Ag 0.6667 0.3333 0.3648
Ag2 Ag 0.3333 0.6667 0.6352
Ag3 Ag 0.3333 0.6667 0.8648
Ag4 Ag 0.6667 0.3333 0.1352
Hg1 Hg 0.0000 0.0000 0.5000
Hg2 Hg 0.0000 0.0000 0.0000
Hg3 Hg 0.6667 0.3333 0.6179
Hg4 Hg 0.3333 0.6667 0.1179
Hg5 Hg 0.6667 0.3333 0.8821
Hg6 Hg 0.3333 0.6667 0.3821
```

Summary:
Calculated formation energy: -0.192 eV/atom

=====

DFT (GGA-PBE) results for a geometry-optimized NdBC structure.

Structure (CIF):
```
data_NdBC
_chemical_formula_sum 'Nd1 B1 C1'
_space_group_name_H-M_alt 'P 1'
_space_group_IT_number 1
_cell_length_a 4.3704
_cell_length_b 3.0566
_cell_length_c 3.0566
_cell_angle_alpha 120.00
_cell_angle_beta 90.00
_cell_angle_gamma 90.00
loop_
_space_group_symop_operation_xyz
'x,y,z'
loop_
_atom_site_label
_atom_site_type_symbol
_atom_site_fract_x
_atom_site_fract_y
_atom_site_fract_z
C1 C 0.1667 0.0000 0.0000
B1 B 0.1667 0.3333 0.6667
Nd1 Nd 0.6666 0.6667 0.3333
```

Summary:
Calculated formation energy: -0.105 eV/atom

=====

DFT (GGA-PBE) results for a geometry-optimized SiAsCl structure.

Structure (CIF):
```
data_SiAsCl
_chemical_formula_sum 'Si1 As1 Cl1'
_space_group_name_H-M_alt 'P 1'
_space_group_IT_number 1
_cell_length_a 7.4852
_cell_length_b 7.4852
_cell_length_c 7.4852
_cell_angle_alpha 154.04
_cell_angle_beta 154.04
_cell_angle_gamma 37.04
loop_
_space_group_symop_operation_xyz
'x,y,z'
loop_
_atom_site_label
_atom_site_type_symbol
_atom_site_fract_x
_atom_site_fract_y
_atom_site_fract_z
As1 As 0.0934 0.0934 0.0000
Cl1 Cl 0.3808 0.3808 0.0000
Si1 Si 0.5258 0.5258 0.0000
```

Summary:
Formation energy without anion corrections: -216.4 meV per atom

=====

DFT (GGA-PBE) results for a geometry-optimized BPPdS2 structure.

Structure (CIF):
```
data_BPPdS2
_chemical_formula_sum 'B1 P1 Pd1 S2'
_space_group_name_H-M_alt 'P 1'
_space_group_IT_number 1
_cell_length_a 4.8937
_cell_length_b 4.8937
_cell_length_c 4.4329
_cell_angle_alpha 90.00
_cell_angle_beta 90.00
_cell_angle_gamma 90.00
loop_
_space_group_symop_operation_xyz
'x,y,z'
loop_
_atom_site_label
_atom_site_type_symbol
_atom_site_fract_x
_atom_site_fract_y
_atom_site_fract_z
P1 P 0.0000 0.0000 0.5000
S1 S 0.0000 0.5000 0.0000
S2 S 0.5000 0.0000 0.0000
B1 B 0.5000 0.5000 0.5000
Pd1 Pd 0.0000 0.0000 0.0000
```

Summary:
Formation energy without anion corrections: 1501.6 meV per atom

=====

DFT (GGA-PBE) results for a geometry-optimized ReOs2W structure.

Structure (CIF):
```
data_ReOs2W
_chemical_formula_sum 'Re1 Os2 W1'
_space_group_name_H-M_alt 'P 1'
_space_group_IT_number 1
_cell_length_a 4.7741
_cell_length_b 4.7741
_cell_length_c 4.8094
_cell_angle_alpha 80.40
_cell_angle_beta 80.40
_cell_angle_gamma 33.76
loop_
_space_group_symop_operation_xyz
'x,y,z'
loop_
_atom_site_label
_atom_site_type_symbol
_atom_site_fract_x
_atom_site_fract_y
_atom_site_fract_z
Os1 Os 0.0041 0.0041 0.9959
Os2 Os 0.7481 0.7481 0.7450
Re1 Re 0.4975 0.4975 0.5166
W1 W 0.2503 0.2503 0.2425
```

Summary:
Calculated formation energy: 0.087 eV/atom

=====

DFT (GGA-PBE) results for a geometry-optimized Li2AgHg2 structure.

Structure (CIF):
```
data_Li2AgHg2
_chemical_formula_sum 'Li4 Ag2 Hg4'
_space_group_name_H-M_alt 'P 1'
_space_group_IT_number 1
_cell_length_a 4.2714
_cell_length_b 5.1361
_cell_length_c 10.7538
_cell_angle_alpha 59.98
_cell_angle_beta 78.54
_cell_angle_gamma 65.43
loop_
_space_group_symop_operation_xyz
'x,y,z'
loop_
_atom_site_label
_atom_site_type_symbol
_atom_site_fract_x
_atom_site_fract_y
_atom_site_fract_z
Li1 Li 0.3522 0.8528 0.9427
Li2 Li 0.8522 0.3528 0.4427
Li3 Li 0.6478 0.1472 0.0573
Li4 Li 0.1478 0.6472 0.5573
Ag1 Ag 0.2500 0.7500 0.2500
Ag2 Ag 0.7500 0.2500 0.7500
Hg1 Hg 0.4377 0.9814 0.6431
Hg2 Hg 0.0622 0.5186 0.8569
Hg3 Hg 0.5623 0.0186 0.3569
Hg4 Hg 0.9378 0.4814 0.1431
```

Summary:
Calculated formation energy: -0.251 eV/atom

=====

DFT (GGA-PBE) results for a geometry-optimized Co2TcP structure.

Structure (CIF):
```
data_Co2TcP
_chemical_formula_sum 'Co2 Tc1 P1'
_space_group_name_H-M_alt 'P 1'
_space_group_IT_number 1
_cell_length_a 4.2094
_cell_length_b 4.2094
_cell_length_c 4.2094
_cell_angle_alpha 127.03
_cell_angle_beta 127.03
_cell_angle_gamma 78.21
loop_
_space_group_symop_operation_xyz
'x,y,z'
loop_
_atom_site_label
_atom_site_type_symbol
_atom_site_fract_x
_atom_site_fract_y
_atom_site_fract_z
Co1 Co 0.0000 0.0000 0.0000
Co2 Co 0.2500 0.7500 0.5000
P1 P 0.5000 0.5000 0.0000
Tc1 Tc 0.7500 0.2500 0.5000
```

Summary:
Calculated formation energy: -0.091 eV/atom

=====

Number 1: total DFT energy (no corrections) -0.188 hartree per atom. Number 2: total DFT energy (no corrections) -0.069 hartree per atom. Number 3: total DFT energy (no corrections) -0.083 hartree per atom. Number 4: total DFT energy (no corrections) -0.076 hartree per atom. Number 5: total DFT energy (no corrections) -0.257 hartree per atom. Number 6: total DFT energy (no corrections) -0.154 hartree per atom. Number 7: total DFT energy (no corrections) -0.132 hartree per atom. Number 8: total DFT energy (no corrections) -0.437 hartree per atom. Number 9: total DFT energy (no corrections) -0.063 hartree per atom. Number 10: total DFT energy (no corrections) -0.279 hartree per atom.